This record from the Alexandria database describes crystalline Li2Ni2Ge at its relaxed geometry. The functional is GGA-PBE.

a = 5.889 Å, b = 5.889 Å, c = 4.102 Å
α = 90.00°, β = 90.00°, γ = 90.00°
Space group P4/mbm (No. 127)
Symmetry-distinct sites (fractional):
Li: 0.168 0.332 0.000
Ni: 0.140 0.640 0.500
Ge: 0.000 0.000 0.500

## Properties
density of states at the Fermi level = 0.68 states/eV/atom
volume = 71 Å³/f.u.
energy of formation from the pure elements = -16.4 kJ/mol of atoms
DFT total energy = -41.72 eV per cell

This record from the Alexandria database describes crystalline SrBiAu at its relaxed geometry. The functional is GGA-PBE.

a = 5.0801 Å, b = 5.0801 Å, c = 13.5823 Å
α = 90.00°, β = 90.00°, γ = 120.00°
Space group P6_3/mmc (No. 194)
Symmetry-distinct sites (fractional):
Sr: 0.0000 0.0000 0.2500
Bi: 0.0000 0.0000 0.0000
Au: 0.3333 0.6667 0.2500

## Properties
density of states at the Fermi level = 0.93 states/eV/atom
volume = 152 Å³/f.u.
energy of formation from the pure elements = 29.0 kJ/mol of atoms
DFT total energy = -15.88 eV per cell

This record from the Alexandria database describes crystalline Tb3Pm2Sm4 at its relaxed geometry. The functional is GGA-PBE.

a = 6.249 Å, b = 6.255 Å, c = 9.542 Å
α = 109.00°, β = 90.07°, γ = 119.93°
Space group P-1 (No. 2)
Symmetry-distinct sites (fractional):
Tb: 0.000 0.000 0.000
Tb: 0.111 0.554 0.333
Pm: 0.445 0.222 0.333
Sm: 0.222 0.110 0.667
Sm: 0.333 0.666 0.000

## Properties
density of states at the Fermi level = 1.38 states/eV/atom
volume = 299 Å³/f.u.
energy of formation from the pure elements = 1.3 kJ/mol of atoms
DFT total energy = -42.15 eV per cell

This record from the Alexandria database describes crystalline Ti2Mn2Fe at its relaxed geometry. The functional is GGA-PBE.

a = 5.815 Å, b = 5.815 Å, c = 3.979 Å
α = 90.00°, β = 90.00°, γ = 90.00°
Space group P4/mbm (No. 127)
Symmetry-distinct sites (fractional):
Ti: 0.181 0.319 0.000
Mn: 0.128 0.628 0.500
Fe: 0.000 0.000 0.500

## Properties
density of states at the Fermi level = 1.83 states/eV/atom
volume = 67 Å³/f.u.
energy of formation from the pure elements = 1.3 kJ/mol of atoms
DFT total energy = -85.05 eV per cell

This record from the Alexandria database describes crystalline CrPbSeN2 at its relaxed geometry. The functional is GGA-PBE.

a = 4.267 Å, b = 4.267 Å, c = 5.859 Å
α = 90.00°, β = 90.00°, γ = 90.00°
Space group P4/mmm (No. 123)
Symmetry-distinct sites (fractional):
Cr: 0.000 0.000 0.000
Pb: 0.500 0.500 0.500
Se: 0.500 0.500 0.000
N: 0.000 0.500 0.500

## Properties
raw formation energy = 2253 meV per atom
density of states at the Fermi level = 2.06 states/eV/atom
volume = 107 Å³/f.u.
DFT total energy = -22.20 eV per cell

This record from the Alexandria database describes crystalline Nd2DyIr at its relaxed geometry. The functional is GGA-PBE.

a = 3.8170 Å, b = 3.8170 Å, c = 32.1150 Å
α = 90.00°, β = 90.00°, γ = 120.00°
Space group R-3m (No. 166, hexagonal axes)
Symmetry-distinct sites (fractional):
Nd: 0.0000 0.0000 0.1117
Dy: 0.0000 0.0000 0.0000
Ir: 0.0000 0.0000 0.5000

## Properties
density of states at the Fermi level = 1.44 states/eV/atom
volume = 135 Å³/f.u.
energy of formation from the pure elements = -2.6 kJ/mol of atoms
DFT total energy = -69.31 eV per cell